Record 1
HPd3Pb: single point on PBEsol structure, SCAN.

DOS(E_F) = 2.6 states/eV/cell
Raw total energy = -35.713 eV per atom

Cell: 4.0835 4.0835 4.0835 Å, 90.00 90.00 90.00°
Positions (direct):
Pb  0.0000  0.0000  0.0000
Pd  0.0000  0.5000  0.5000
Pd  0.5000  0.0000  0.5000
Pd  0.5000  0.5000  0.0000
H  0.5000  0.5000  0.5000

---

Record 2
ReH2PdPb: single point on PBEsol structure, SCAN.

DOS(E_F) = 2.0 states/eV/cell
Raw total energy = -36.420 eV per atom

Cell: 3.7293 3.7293 5.1654 Å, 90.00 90.00 90.00°
Each line ends with the local moment (μB).
Positions (direct):
H  0.5000  0.0000  0.0000  0.02
H  0.0000  0.5000  0.0000  0.02
Pb  0.5000  0.5000  0.5000  -0.01
Re  0.0000  0.0000  0.5000  1.66
Pd  0.0000  0.0000  0.0000  0.18

---

Record 3
H2Pt2Pb: single point on PBEsol structure, SCAN.

DOS(E_F) = 5.7 states/eV/cell
Raw total energy = -44.077 eV per atom

Cell: 2.8665 6.7712 6.7712 Å, 90.00 90.00 90.00°
Positions (direct):
Pt  0.5000  0.6415  0.8585
Pt  0.5000  0.3585  0.1415
Pt  0.5000  0.1415  0.6415
Pt  0.5000  0.8585  0.3585
H  0.0000  0.4376  0.9376
H  0.0000  0.9376  0.5624
H  0.0000  0.5624  0.0624
H  0.0000  0.0624  0.4376
Pb  0.0000  0.0000  0.0000
Pb  0.0000  0.5000  0.5000

---

Record 4
Rb2HPb: single point on PBEsol structure, SCAN.

DOS(E_F) = 0.6 states/eV/cell
Raw total energy = -29.929 eV per atom

Cell: 6.0412 6.0412 6.0412 Å, 60.00 60.00 60.00°
Each line ends with the local moment (μB).
Positions (direct):
H  0.0000  0.0000  0.0000  0.10
Rb  0.2500  0.2500  0.2500  0.07
Rb  0.7500  0.7500  0.7500  0.07
Pb  0.5000  0.5000  0.5000  0.80

---

Record 5
HRh3Pb: single point on PBEsol structure, SCAN.

DOS(E_F) = 2.6 states/eV/cell
Raw total energy = -36.146 eV per atom

Cell: 3.9974 3.9974 3.9974 Å, 90.00 90.00 90.00°
Positions (direct):
Rh  0.0000  0.5000  0.0000
Rh  0.5000  0.0000  0.0000
Rh  0.0000  0.0000  0.5000
H  0.0000  0.0000  0.0000
Pb  0.5000  0.5000  0.5000

---

Record 6
H3RhPb: single point on PBEsol structure, SCAN.

DOS(E_F) = 1.0 states/eV/cell
Raw total energy = -23.908 eV per atom

Cell: 3.6899 3.6899 3.6899 Å, 90.00 90.00 90.00°
Positions (direct):
H  0.5000  0.0000  0.0000
H  0.0000  0.5000  0.0000
H  0.0000  0.0000  0.5000
Pb  0.5000  0.5000  0.5000
Rh  0.0000  0.0000  0.0000

---

Which of these has the highest raw total energy?
H3RhPb

---

Copy entry 6 word for word.
H3RhPb: single point on PBEsol structure, SCAN.

DOS(E_F) = 1.0 states/eV/cell
Raw total energy = -23.908 eV per atom

Cell: 3.6899 3.6899 3.6899 Å, 90.00 90.00 90.00°
Positions (direct):
H  0.5000  0.0000  0.0000
H  0.0000  0.5000  0.0000
H  0.0000  0.0000  0.5000
Pb  0.5000  0.5000  0.5000
Rh  0.0000  0.0000  0.0000

---

Which value of DOS(E_F) does entry 5 give?
2.6 states/eV/cell

---

Which value of DOS(E_F) does entry 2 give?
2.0 states/eV/cell